Entry 1:
Here is a relaxed Pu6SnGe5 crystal from the Alexandria database. Energies are from GGA-PBE.

Cell lengths 8.4493, 8.4493, 8.2887 Å; angles 118.85, 118.85, 32.22 degrees
Positions (direct):
Pu (0.0080, 0.0080, 0.2401)
Pu (0.3253, 0.3253, 0.5840)
Pu (0.3302, 0.3302, 0.0654)
Pu (0.6698, 0.6698, 0.9346)
Pu (0.6747, 0.6747, 0.4160)
Pu (0.9920, 0.9920, 0.7599)
Sn (0.5000, 0.5000, 0.5000)
Ge (0.1566, 0.1566, 0.6595)
Ge (0.1734, 0.1734, 0.1707)
Ge (0.5000, 0.5000, 0.0000)
Ge (0.8266, 0.8266, 0.8293)
Ge (0.8434, 0.8434, 0.3405)

Computed properties:
Its crystal system is monoclinic. The value obtained for the volume is 272.8 Å³/cell. For the energy relative to the elements, the calculation gives -4.56 eV per formula unit.

=====

Entry 2:
Here is a relaxed PuSnGe2 crystal from the Alexandria database. Energies are from GGA-PBE.

Cell lengths 4.5256, 4.5256, 4.1677 Å; angles 90.00, 90.00, 90.00 degrees
Positions (direct):
Pu (0.0000, 0.0000, 0.0000)
Sn (0.5000, 0.5000, 0.0000)
Ge (0.0000, 0.5000, 0.5000)
Ge (0.5000, 0.0000, 0.5000)

Computed properties:
Its crystal system is tetragonal. The value obtained for the volume is 85.4 Å³/cell. For the energy relative to the elements, the calculation gives -1.37 eV per formula unit.

=====

Entry 3:
Here is a relaxed PuSn2Ge crystal from the Alexandria database. Energies are from GGA-PBE.

Cell lengths 11.4247, 11.4247, 11.4247 Å; angles 16.73, 16.73, 16.73 degrees
Positions (direct):
Pu (0.0000, 0.0000, 0.0000)
Sn (0.0950, 0.0950, 0.0950)
Sn (0.9050, 0.9050, 0.9050)
Ge (0.5000, 0.5000, 0.5000)

Computed properties:
Its crystal system is trigonal. The value obtained for the volume is 107.8 Å³/cell. For the energy relative to the elements, the calculation gives 1.15 eV per formula unit.

=====

Q: Which value of energy relative to the elements does entry 3 give?
A: 1.15 eV per formula unit

=====

What did the second record say?
Here is a relaxed PuSnGe2 crystal from the Alexandria database. Energies are from GGA-PBE.

Cell lengths 4.5256, 4.5256, 4.1677 Å; angles 90.00, 90.00, 90.00 degrees
Positions (direct):
Pu (0.0000, 0.0000, 0.0000)
Sn (0.5000, 0.5000, 0.0000)
Ge (0.0000, 0.5000, 0.5000)
Ge (0.5000, 0.0000, 0.5000)

Computed properties:
Its crystal system is tetragonal. The value obtained for the volume is 85.4 Å³/cell. For the energy relative to the elements, the calculation gives -1.37 eV per formula unit.